Entry 1:
A geometry-optimized ThTaNbGa2 structure. Source: Alexandria, functional GGA-PBE.

Computed properties:
Energy   -74.42 eV for the cell shown
Crystal system   tetragonal
Spin magnetization   0.000 μB/atom

a = 4.077 Å, b = 4.077 Å, c = 12.450 Å
α = 90.00°, β = 90.00°, γ = 90.00°
Space group I-4m2 (No. 119)
Inequivalent atoms, fractional coordinates:
Th 0.000 0.000 0.000 [2 per cell]
Ta 0.000 0.500 0.250 [2 per cell]
Nb 0.000 0.500 0.750 [2 per cell]
Ga 0.000 0.000 0.398 [4 per cell]

=====

Entry 2:
A geometry-optimized K4BaNa structure. Source: Alexandria, functional GGA-PBE.

Computed properties:
Energy   -27.19 eV for the cell shown
Crystal system   cubic
Spin magnetization   0.000 μB/atom

a = 11.699 Å, b = 11.699 Å, c = 11.699 Å
α = 90.00°, β = 90.00°, γ = 90.00°
Space group F-43m (No. 216)
Inequivalent atoms, fractional coordinates:
K 0.125 0.125 0.125 [16 per cell]
Ba 0.250 0.250 0.750 [4 per cell]
Na 0.000 0.000 0.500 [4 per cell]